DFT (PBE) results for a relaxed LiDyGeRu crystal.

Calculated values
DOS(E_F)	0.8502	states/eV per atom
calculated total energy	-21.85	eV per cell
formation energy	-0.359	eV/atom

Cell and atoms, written as POSCAR:
```
LiDyGeRu
1.0
-3.647 0.450 2.710
-4.196 -0.566 -1.708
-2.457 -3.673 1.150
Ge Dy Ru Li
1 1 1 1
direct
0.250 0.250 0.250 Ge
0.750 0.750 0.750 Dy
0.500 0.500 0.500 Ru
0.000 0.000 0.000 Li
```

=====

DFT (PBE) results for a relaxed Li4Dy3GeS8 crystal.

Calculated values
DOS(E_F)	0.1136	states/eV per atom
calculated total energy	-83.40	eV per cell
energy relative to the elements, uncorrected	-1.52	eV per atom

Cell and atoms, written as POSCAR:
```
Li4Dy3GeS8
1.0
-5.920 -3.631 3.375
2.626 -6.652 -2.550
4.527 4.681 4.145
S Dy Li Ge
8 3 4 1
direct
0.751 0.753 0.502 S
0.237 0.254 0.996 S
0.758 0.254 0.516 S
0.249 0.247 0.498 S
0.763 0.746 0.004 S
0.242 0.746 0.004 S
0.242 0.746 0.484 S
0.758 0.254 0.996 S
0.500 0.500 0.500 Dy
0.000 0.500 0.500 Dy
0.500 0.500 0.000 Dy
0.500 0.000 0.000 Li
0.000 0.000 0.500 Li
0.500 0.000 0.500 Li
0.000 0.000 0.000 Li
0.000 0.500 0.000 Ge
```

=====

The highest calculated total energy belongs to which entry?
LiDyGeRu